(1)
The following is a PBE-GGA calculation of a relaxed structure of RbRePb2, from Alexandria.

For the total energy, the calculation gives -4.099 eV per atom. The magnetic moment comes out at 1.720 μB/f.u. The value obtained for the calculated formation energy is 1.109 eV/atom. The energy above the most stable polymorph in this dataset is 0.382 eV per atom. Its space group is Fm-3m.

```
RbRePb2
1.0
0.000 3.741 3.741
3.741 0.000 3.741
3.741 3.741 0.000
Pb Rb Re
2 1 1
direct
0.250 0.250 0.250
0.750 0.750 0.750
0.000 0.000 0.000
0.500 0.500 0.500
```

---

(2)
The following is a PBE-GGA calculation of a relaxed structure of Rb2Re2Pb, from Alexandria.

For the total energy, the calculation gives -4.737 eV per atom. The magnetic moment comes out at 0.000 μB/f.u. The value obtained for the calculated formation energy is 1.371 eV/atom. The energy above the most stable polymorph in this dataset is 0.582 eV per atom. Its space group is P4/mbm.

```
Rb2Re2Pb
1.0
10.639 0.000 0.000
0.000 10.639 0.000
0.000 0.000 2.898
Rb Re Pb
4 4 2
direct
0.707 0.793 0.500
0.793 0.293 0.500
0.293 0.207 0.500
0.207 0.707 0.500
0.073 0.427 0.000
0.927 0.573 0.000
0.573 0.073 0.000
0.427 0.927 0.000
0.500 0.500 0.000
0.000 0.000 0.000
```

---

Question: Which value of magnetic moment does entry 2 give?
Answer: 0.000 μB/f.u.

---

Question: magnetic moment of number 2 (Rb2Re2Pb)?
Answer: 0.000 μB/f.u.